No. 1
# MnCr2Tc GGA-PBE optimized geometry
data_MnCr2Tc
_symmetry_space_group_name_H-M 'F m -3 m'
_symmetry_Int_Tables_number 225
_symmetry_space_group_name_Hall '-F 4 2 3'
_cell_length_a 5.8136
_cell_length_b 5.8136
_cell_length_c 5.8136
_cell_angle_alpha 90.00
_cell_angle_beta 90.00
_cell_angle_gamma 90.00
loop_
_atom_site_label
_atom_site_fract_x
_atom_site_fract_y
_atom_site_fract_z
Mn1 0.0000 0.0000 0.0000
Cr1 0.2500 0.2500 0.2500
Tc1 0.0000 0.0000 0.5000
# V ... 49.12 Å³/f.u.
# Energy relative to the lowest polymorph listed for this composition ... 37 meV/atom
# Energy of formation ... 90 meV/atom
# Total magnetization ... 0.963 μB per formula unit

=====

No. 2
# MnNb3S6 GGA-PBE optimized geometry
data_MnNb3S6
_symmetry_space_group_name_H-M 'P 63 2 2'
_symmetry_Int_Tables_number 182
_symmetry_space_group_name_Hall 'P 6c 2c'
_cell_length_a 5.8361
_cell_length_b 5.8361
_cell_length_c 12.4190
_cell_angle_alpha 90.00
_cell_angle_beta 90.00
_cell_angle_gamma 120.00
loop_
_atom_site_label
_atom_site_fract_x
_atom_site_fract_y
_atom_site_fract_z
Mn1 0.3333 0.6667 0.2500
Nb1 0.0000 0.0000 0.0000
Nb2 0.3333 0.6667 0.5012
S1 0.0016 0.3326 0.6264
# V ... 183.16 Å³/f.u.
# Energy relative to the lowest polymorph listed for this composition ... 0 meV/atom
# Total magnetization ... 4.222 μB per formula unit

=====

No. 3
# TeRh3 GGA-PBE optimized geometry
data_TeRh3
_symmetry_space_group_name_H-M 'C m c m'
_symmetry_Int_Tables_number 63
_symmetry_space_group_name_Hall '-C 2c 2'
_cell_length_a 6.7186
_cell_length_b 8.7965
_cell_length_c 4.4279
_cell_angle_alpha 90.00
_cell_angle_beta 90.00
_cell_angle_gamma 90.00
loop_
_atom_site_label
_atom_site_fract_x
_atom_site_fract_y
_atom_site_fract_z
Te1 0.0000 0.1491 0.2500
Rh1 0.0000 0.3151 0.7500
Rh2 0.2104 0.4165 0.2500
# V ... 65.42 Å³/f.u.
# Total magnetization ... 0.000 μB per formula unit

=====

| no. | uncorrected energy (eV for the cell shown) | Fermi-level density of states (states/eV per cell) |
| --- | --- | --- |
| 1 | -153.7 | 23.429 |
| 2 | -149.8 | 9.738 |
| 3 | -100.6 | 12.131 |